# PuMnCuO4, relaxed, DFT PBE with a Hubbard U
# Uncorrected energy, eV per atom: -8.4334
# Calculated volume, Å³/cell: 388.9
# Size of the total moment, μB/f.u.: 8.0
data_PuMnCuO4
_cell_length_a 6.6319
_cell_length_b 7.3202
_cell_length_c 8.0101
_cell_angle_alpha 90.00
_cell_angle_beta 90.00
_cell_angle_gamma 90.00
_space_group_name_H-M_alt 'I m m a'
_space_group_IT_number 74
_space_group_name_Hall '-I 2b 2'
loop_
_atom_site_label
_atom_site_type_symbol
_atom_site_fract_x
_atom_site_fract_y
_atom_site_fract_z
_atom_site_occupancy
Pu1 Pu 0.0000 0.0000 0.0000 1
Mn1 Mn 0.0000 0.2500 0.4017 1
Cu1 Cu 0.2500 0.2500 0.7500 1
O1 O 0.0000 0.0280 0.2465 1
O2 O 0.2196 0.2500 0.9841 1